VASP calculation (PBE-GGA) on an optimized crystal structure of Ir2C.

**Energy of formation**: 0.85 eV/atom
**E above lowest polymorph**: 292 meV per atom

```
data_Ir2C
_chemical_formula_sum 'Ir8 C4'
_cell_length_a 2.710
_cell_length_b 5.215
_cell_length_c 10.950
_cell_angle_alpha 90.00
_cell_angle_beta 90.00
_cell_angle_gamma 90.00
_symmetry_space_group_name_H-M 'F m m m'
_symmetry_Int_Tables_number 69
_symmetry_space_group_name_Hall '-F 2 2'
loop_
_atom_site_label
_atom_site_type_symbol
_atom_site_fract_x
_atom_site_fract_y
_atom_site_fract_z
_atom_site_occupancy
Ir1 Ir 0.000 0.000 0.137 1
C1 C 0.000 0.000 0.500 1
```